# 1
Below is an optimized crystal structure of SrLiCd2Ag4, with properties calculated at the PBE level.

Computed properties:
Its final energy is -18.32 eV/f.u. For the total moment, the calculation gives 0.00 μB/f.u.

extended XYZ file:
```
8
Lattice="-4.5961 1.0974 -0.7522 -1.7767 -0.0552 -4.4423 -4.3254 -8.1946 -0.7451" Properties=species:S:1:pos:R:3 pbc="T T T"
Cd -7.9632 -5.1298 -4.4818
Cd -2.7350 -2.0226 -1.4578
Ag -4.7066 -1.0830 -3.2577
Ag -7.2257 -2.2678 -4.8123
Ag -5.9915 -6.0694 -2.6819
Ag -3.4724 -4.8845 -1.1273
Li -5.3491 -3.5762 -2.9698
Sr 0.0000 0.0000 0.0000
```

# 2
Below is an optimized crystal structure of VCoS3, with properties calculated at the PBE level.

Computed properties:
For the total moment, the calculation gives 0.51 μB/f.u. For the formation energy from raw total energies, the calculation gives -0.659 eV per atom.

extended XYZ file:
```
10
Lattice="3.1687 0.0000 0.0000 0.0000 6.4732 -2.4141 0.0000 -1.0469 9.0583" Properties=species:S:1:pos:R:3 pbc="T T T"
V 2.3765 0.2147 5.5092
V 0.7922 5.2115 1.1349
S 2.3765 5.7671 -0.6498
S 0.7922 -0.3408 7.2940
S 0.7922 0.9924 4.0050
S 0.7922 2.8269 0.2967
S 2.3765 2.5994 6.3474
S 2.3765 4.4339 2.6391
Co 2.3765 1.1305 7.9631
Co 0.7922 4.2958 -1.3190
```

# 3
Below is an optimized crystal structure of HfTiSeN2, with properties calculated at the PBE level.

Computed properties:
For the total moment, the calculation gives 0.00 μB/f.u. For the formation energy from raw total energies, the calculation gives 0.095 eV per atom.

extended XYZ file:
```
5
Lattice="-4.0262 0.4794 -0.3478 0.2198 -1.0101 -3.9360 -0.7146 -5.0843 1.2648" Properties=species:S:1:pos:R:3 pbc="T T T"
Se -0.3573 -2.5421 0.6324
Hf 0.0000 0.0000 0.0000
Ti -2.2605 -2.8075 -1.5095
N 0.1099 -0.5050 -1.9680
N -2.0131 0.2397 -0.1739
```

# 4
Below is an optimized crystal structure of La2Pr8Tl, with properties calculated at the PBE level.

Computed properties:
Its final energy is -50.93 eV/f.u. For the total moment, the calculation gives 0.00 μB/f.u.

extended XYZ file:
```
11
Lattice="-4.5020 -2.3240 0.9958 1.4002 -5.3271 -6.1026 5.9869 -2.8032 7.1382" Properties=species:S:1:pos:R:3 pbc="T T T"
Pr -0.9658 -4.2179 -0.8238
Pr 2.5464 -3.0578 4.3757
Pr 1.5434 -6.2333 5.8166
Pr 1.2759 -2.0364 1.0159
Pr 3.8509 -6.2364 2.8552
Pr 1.6092 -8.4179 1.0155
Pr 0.3387 -7.3965 -2.3444
Pr 1.3418 -4.2210 -3.7852
Tl -2.2510 -1.1620 0.4979
La 0.3261 -5.3087 2.4712
La 2.5590 -5.1456 -0.4398
```

# 5
Below is an optimized crystal structure of GaI2, with properties calculated at the PBE level.

Computed properties:
For the total moment, the calculation gives 0.00 μB/f.u. For the formation energy from raw total energies, the calculation gives -0.340 eV per atom.

extended XYZ file:
```
3
Lattice="5.1738 0.0000 0.0002 0.0000 4.2513 0.0000 -2.3139 0.0000 6.9461" Properties=species:S:1:pos:R:3 pbc="T T T"
I 0.8407 2.1257 6.2603
I 3.4230 0.0000 3.4160
Ga 0.8360 0.0000 4.4283
```

# 6
Below is an optimized crystal structure of K2CdCo, with properties calculated at the PBE level.

Computed properties:
Its final energy is -7.28 eV/f.u. For the total moment, the calculation gives 1.65 μB/f.u.

extended XYZ file:
```
4
Lattice="6.3572 0.0000 0.0000 0.0000 6.3572 0.0000 0.0000 0.0000 3.2155" Properties=species:S:1:pos:R:3 pbc="T T T"
K 3.1786 3.1786 0.0000
K 0.0000 0.0000 0.0000
Cd 3.1786 0.0000 1.6077
Co 0.0000 3.1786 1.6077
```